Record 1
A plane-wave DFT calculation with PBE was carried out for a relaxed structure of Y2TmInC.

a = 4.8467 Å, b = 4.9287 Å, c = 4.9287 Å
α = 90.00°, β = 90.00°, γ = 90.00°
Element x y z (fractional)
Y: 0.0000 0.0000 0.5000
Tm: 0.5000 0.0000 0.0000
C: 0.0000 0.0000 0.0000
In: 0.5000 0.5000 0.5000
Y: 0.0000 0.5000 0.0000

Record 2
A plane-wave DFT calculation with PBE was carried out for a relaxed structure of Ta2Ru3.

Summary:
ΔE to the lowest computed polymorph = 216 meV/atom

a = 4.3260 Å, b = 4.3260 Å, c = 5.3355 Å
α = 90.00°, β = 90.00°, γ = 120.00°
Element x y z (fractional)
Ru: 0.3333 0.6667 0.3297
Ru: 0.0000 0.0000 0.0000
Ta: 0.6667 0.3333 0.1878
Ru: 0.6667 0.3333 0.6703
Ta: 0.3333 0.6667 0.8122

Record 3
A plane-wave DFT calculation with PBE was carried out for a relaxed structure of Ni5Pd2Pt5.

Summary:
ΔE to the lowest computed polymorph = 8 meV/atom

a = 3.7839 Å, b = 6.0053 Å, c = 8.6095 Å
α = 115.05°, β = 90.00°, γ = 108.36°
Element x y z (fractional)
Pd: 0.9142 0.8284 0.2543
Ni: 0.2484 0.4969 0.2545
Pt: 0.6626 0.3252 0.0004
Pt: 0.4063 0.8126 0.7411
Ni: 0.0000 0.0000 0.0000
Pt: 0.3374 0.6748 0.9996
Ni: 0.1707 0.3414 0.4984
Ni: 0.8293 0.6586 0.5016
Pt: 0.5000 0.0000 0.5000
Pd: 0.0858 0.1716 0.7457
Ni: 0.7516 0.5031 0.7455
Pt: 0.5937 0.1874 0.2589

Record 4
A plane-wave DFT calculation with PBE was carried out for a relaxed structure of NpCoTc.

a = 6.0034 Å, b = 6.0034 Å, c = 8.0810 Å
α = 96.58°, β = 96.58°, γ = 133.75°
Element x y z (fractional)
Np: 0.0552 0.5552 0.1104
Np: 0.4448 0.9448 0.8896
Tc: 0.6250 0.3750 0.7500
Co: 0.7657 0.7657 0.0000
Co: 0.0157 0.5157 0.5000
Co: 0.4843 0.9843 0.5000
Tc: 0.6250 0.8750 0.2500
Np: 0.8052 0.8052 0.6104
Np: 0.1948 0.1948 0.3896
Tc: 0.6250 0.3750 0.2500
Co: 0.2343 0.2343 0.0000
Tc: 0.1250 0.3750 0.7500

no.,energy of formation (meV per atom)
1,-542.7
2,-28.1
3,-45.5
4,313.3